# 1
The following is a PBE calculation of a geometry-optimized PmCoSi2Ru structure, from Alexandria.

Structure (extended XYZ):
```
5
Lattice="4.0610 0.0000 0.0000 0.0000 4.0610 0.0000 -2.0305 -2.0305 4.9500" Properties=species:S:1:pos:R:3 pbc="T T T"
Pm 0.0000 0.0000 0.0000
Co 2.0305 0.0000 2.4750
Si 2.0305 2.0305 1.2991
Si 0.0000 0.0000 3.6509
Ru 0.0000 2.0305 2.4750
```

Total moment ... 0.00 μB/atom
E_form (uncorrected) ... -4.174 eV per formula unit

=====

# 2
The following is a PBE calculation of a geometry-optimized PmSmCoRu structure, from Alexandria.

Structure (extended XYZ):
```
4
Lattice="4.8882 0.0000 0.0000 2.4441 4.2333 0.0000 2.4441 1.4111 3.9912" Properties=species:S:1:pos:R:3 pbc="T T T"
Ru 7.3323 4.2333 2.9934
Co 2.4441 1.4111 0.9978
Sm 0.0000 0.0000 0.0000
Pm 4.8882 2.8222 1.9956
```

Offset from the most stable computed form ... 88 meV per atom
Formation enthalpy at 0 K ... -0.0592 eV per atom
Total moment ... 0.03 μB/atom

=====

# 3
The following is a PBE calculation of a geometry-optimized PmSmCoRu structure, from Alexandria.

Structure (extended XYZ):
```
4
Lattice="4.2527 0.0000 0.0000 0.0000 4.0800 0.0000 -2.1264 0.0000 5.2449" Properties=species:S:1:pos:R:3 pbc="T T T"
Pm 2.1264 2.0400 3.7237
Sm 0.0000 0.0000 1.5249
Co 0.0000 0.0000 4.6592
Ru 2.1264 2.0400 0.5820
```

Offset from the most stable computed form ... 0 meV per atom
Formation enthalpy at 0 K ... -0.1471 eV per atom
Total moment ... 0.19 μB/atom

=====

# 4
The following is a PBE calculation of a geometry-optimized TbPmCoRu structure, from Alexandria.

Structure (extended XYZ):
```
4
Lattice="-2.1240 -0.6566 3.5719 -0.1037 -3.9561 -0.7889 5.5798 -0.3028 0.7845" Properties=species:S:1:pos:R:3 pbc="T T T"
Tb 1.2935 -0.1807 0.7359
Pm 2.0808 -2.7526 3.2091
Co 4.0144 -0.5607 2.2840
Ru -0.5807 -2.3808 1.6948
```

Offset from the most stable computed form ... 0 meV per atom
Formation enthalpy at 0 K ... -0.1795 eV per atom
Total moment ... 0.19 μB/atom

=====

# 5
The following is a PBE calculation of a geometry-optimized TbPmCoRu structure, from Alexandria.

Structure (extended XYZ):
```
4
Lattice="4.8454 0.0000 0.0000 2.4227 4.1963 0.0000 2.4227 1.3988 3.9563" Properties=species:S:1:pos:R:3 pbc="T T T"
Ru 7.2681 4.1963 2.9672
Co 2.4227 1.3988 0.9891
Tb 4.8454 2.7975 1.9781
Pm 0.0000 0.0000 0.0000
```

Offset from the most stable computed form ... 59 meV per atom
Formation enthalpy at 0 K ... -0.1206 eV per atom
Total moment ... 0.00 μB/atom

=====

# 6
The following is a PBE calculation of a geometry-optimized PmYCoRu structure, from Alexandria.

Structure (extended XYZ):
```
4
Lattice="-1.6344 -0.9679 -4.4549 2.1832 -3.3762 -2.6998 -2.2364 -4.2005 -0.8993" Properties=species:S:1:pos:R:3 pbc="T T T"
Y -0.4219 -2.1362 -2.0135
Ru -0.8437 -4.2723 -4.0270
Co 0.0000 0.0000 0.0000
Pm -1.2656 -6.4085 -6.0405
```

Formation enthalpy at 0 K ... -0.1203 eV per atom
Total moment ... 0.00 μB/atom

=====

# 7
The following is a PBE calculation of a geometry-optimized PmZrCoRu structure, from Alexandria.

Structure (extended XYZ):
```
4
Lattice="-2.6285 3.3647 -2.0588 -4.7212 -0.0974 0.4117 -2.2142 3.2377 2.6615" Properties=species:S:1:pos:R:3 pbc="T T T"
Ru 0.0000 0.0000 0.0000
Co -4.7820 3.2525 0.5072
Zr -7.1730 4.8788 0.7608
Pm -2.3910 1.6263 0.2536
```

Formation enthalpy at 0 K ... -0.1882 eV per atom
Total moment ... 0.14 μB/atom

=====

# 8
The following is a PBE calculation of a geometry-optimized Pm3Co5S12 structure, from Alexandria.

Structure (extended XYZ):
```
80
Lattice="-10.8350 5.8473 2.6825 -1.9006 -12.4541 -0.2601 8.5593 2.7593 8.8266" Properties=species:S:1:pos:R:3 pbc="T T T"
Pm -7.7690 0.0601 3.0177
Pm -9.8361 -3.8792 3.2555
Pm -0.1390 -5.4233 6.3275
Pm 0.2634 0.9398 3.9481
Pm -7.5783 4.2495 4.5214
Pm -3.1112 -4.9012 3.0500
Pm -1.0651 1.0538 8.1990
Pm 3.4021 -8.0969 6.7277
Pm -4.4397 -4.7873 7.3009
Pm -4.0373 1.5758 4.9215
Pm 5.6599 0.0318 7.9935
Pm 3.5928 -3.9076 8.2313
Co 0.0727 -3.2495 2.4444
Co -0.9503 -6.2270 -0.1300
Co 0.0000 0.0000 0.0000
Co -3.4684 -0.5759 2.0443
Co -1.1378 4.3033 5.7546
Co -6.3678 -3.3034 1.2112
Co 0.4299 -7.5749 3.4502
Co -0.8744 5.2431 9.7026
Co -6.1044 -2.3636 5.1593
Co 2.1188 2.7055 7.5934
Co -6.2951 -6.5529 3.6557
Co -2.0881 -1.9237 5.6245
Co -5.4175 2.9237 1.3413
Co 4.2797 1.3796 4.4133
Co 1.9281 -1.4839 6.0897
Co -3.3019 -9.0906 1.5464
Co 3.3294 -4.8474 4.2832
Co -4.6062 3.7275 7.7988
Co -0.7079 -3.2716 9.2048
Co -4.2490 -0.5979 8.8046
S -7.6023 2.7545 2.0185
S -0.9762 -3.4632 4.3383
S -8.7734 1.7189 5.1948
S -5.0596 0.8814 2.3219
S -1.8830 -3.3883 7.3777
S -10.2194 -1.1383 4.0468
S -1.4781 -6.9673 4.3006
S -1.7725 -10.5325 0.9855
S -2.4633 -6.8800 7.3151
S -7.1534 -2.7384 3.2907
S -6.2730 -0.2158 5.4613
S -10.4638 -6.4592 2.1439
S 1.9218 -6.6086 4.7045
S -4.2487 -2.5781 1.7052
S 0.6604 -9.7381 3.4314
S 0.3731 2.6648 6.2959
S 0.4129 -1.1624 1.9336
S -5.7118 -5.3854 1.9152
S -8.0555 -5.7307 4.6343
S -1.2073 -4.2441 0.9935
S 0.7868 -7.7182 7.8689
S -4.0297 -3.0125 5.0721
S -6.9613 -3.4875 6.8131
S -1.4881 3.1996 10.1268
S -0.1465 -0.8350 6.1769
S 2.7850 -0.3599 4.4359
S -2.6881 -7.0470 1.1222
S 3.8792 1.8833 6.6148
S -4.9630 3.8708 3.3801
S -2.9689 0.3967 10.2555
S 1.5356 1.5379 9.3339
S -4.5493 -6.5123 4.9531
S -4.5891 -2.6850 9.3154
S -4.8367 5.8906 7.8176
S -6.0980 2.7611 6.5445
S 6.2875 2.6117 9.1052
S 0.0725 -1.2694 9.5438
S -1.7129 3.0325 3.9339
S 2.9771 -1.1090 7.9583
S 2.0968 -3.6317 5.7877
S -2.4038 6.6850 10.2635
S -2.6982 3.1199 6.9484
S 0.8833 -4.7289 8.9272
S 6.0432 -2.7091 7.2022
S -2.2933 -0.4592 3.8713
S 4.5971 -5.5663 6.0542
S -3.2000 -0.3843 6.9107
S 3.4260 -6.6019 9.2305
```

Total moment ... 0.38 μB/atom
E_form (uncorrected) ... -16.995 eV per formula unit

=====

# 9
The following is a PBE calculation of a geometry-optimized Pm4CoSe2S structure, from Alexandria.

Structure (extended XYZ):
```
8
Lattice="4.0277 0.0000 0.0000 0.0000 7.1941 0.1611 0.0000 -2.4816 6.8478" Properties=species:S:1:pos:R:3 pbc="T T T"
Pm 2.0138 1.2297 1.6291
Pm 2.0138 3.4829 5.3798
Pm 0.0000 0.0151 5.3649
Pm 0.0000 4.6974 1.6439
Co 2.0138 3.5970 0.0805
Se 2.0138 -1.2408 3.4239
Se 0.0000 2.3563 3.5044
S 0.0000 0.0000 0.0000
```

Total moment ... 0.00 μB/atom
E_form (uncorrected) ... -11.230 eV per formula unit

=====

# 10
The following is a PBE calculation of a geometry-optimized PmUCoS4 structure, from Alexandria.

Structure (extended XYZ):
```
14
Lattice="6.3480 0.0000 0.1310 0.0000 5.7194 0.0000 -2.3191 0.0000 7.4007" Properties=species:S:1:pos:R:3 pbc="T T T"
Pm 2.5267 4.2896 7.0285
Pm 1.5022 1.4299 0.5033
U 3.7626 4.2896 3.3837
U 0.2663 1.4299 4.1480
Co 0.7381 4.2896 2.4822
Co 3.2908 1.4299 5.0495
S -1.6242 2.9131 5.5351
S 5.6531 0.0534 1.9967
S 5.6531 2.8063 1.9967
S -1.6242 5.6660 5.5351
S 2.4258 4.2896 1.0156
S 1.6031 1.4299 6.5161
S 1.3104 4.2896 4.5367
S 2.7185 1.4299 2.9950
```

Total moment ... 0.15 μB/atom
E_form (uncorrected) ... -9.260 eV per formula unit

=====

# 11
The following is a PBE calculation of a geometry-optimized Pm4CoSb2 structure, from Alexandria.

Structure (extended XYZ):
```
7
Lattice="-1.3594 -4.7406 0.5745 4.6656 -1.4458 -0.8908 0.0724 3.5948 8.3810" Properties=species:S:1:pos:R:3 pbc="T T T"
Sb 2.1341 -2.9534 2.1342
Sb 1.2444 0.3618 5.9305
Co 0.0000 0.0000 0.0000
Pm 2.7855 -2.7640 5.2385
Pm 0.5930 0.1724 2.8261
Pm 2.3328 -0.7229 -0.4454
Pm -0.6797 -2.3703 0.2872
```

Offset from the most stable computed form ... 0 meV per atom
Total moment ... 0.00 μB/atom
E_form (uncorrected) ... -4.310 eV per formula unit